## AcPr12Y7 (GGA-PBE)

Data for AcPr12Y7 after structural relaxation.

Calculated values
- calculated total energy (eV/cell) = -102.8
- D(E_F) (states/eV per cell) = 33.8
- volume (Å³/atom) = 35.6

a b c (Å): 8.934 8.934 8.934
angles (deg): 89.26 89.26 89.26
Sites, in units of the cell vectors:
Pr 0.373 0.857 0.504
Pr 0.143 0.496 0.627
Pr 0.275 0.135 0.721
Pr 0.721 0.275 0.135
Pr 0.504 0.373 0.857
Pr 0.496 0.627 0.143
Pr 0.627 0.143 0.496
Pr 0.279 0.725 0.865
Pr 0.725 0.865 0.279
Pr 0.135 0.721 0.275
Pr 0.865 0.279 0.725
Pr 0.857 0.504 0.373
Y 0.614 0.939 0.846
Y 0.061 0.154 0.386
Y 0.846 0.614 0.939
Y 0.500 0.500 0.500
Y 0.386 0.061 0.154
Y 0.939 0.846 0.614
Y 0.154 0.386 0.061
Ac 0.000 0.000 0.000